NbAgSe2 | PBE | relaxed

Output
Final energy   -41.2 eV/cell
Space-group type   I-42d (122)

Unit cell a=7.3934 b=7.3934 c=7.3934 alpha=132.06 beta=132.06 gamma=70.13
Positions (direct):
Nb 0.0000 0.0000 0.0000
Nb 0.7500 0.2500 0.5000
Ag 0.2500 0.7500 0.5000
Ag 0.5000 0.5000 0.0000
Se 0.1057 0.6250 0.9807
Se 0.3750 0.3557 0.4807
Se 0.6443 0.1250 0.0193
Se 0.8750 0.8943 0.5193

=====

Cs2SrPuCl6 | PBE | relaxed

Output
Final energy   -98.7 eV/cell
Space-group type   Pmmn (59)

Unit cell a=8.0522 b=11.3884 c=8.0565 alpha=90.00 beta=90.00 gamma=90.00
Positions (direct):
Cs 0.2500 0.0003 0.2454
Cs 0.2500 0.4997 0.2454
Cs 0.7500 0.9997 0.7546
Cs 0.7500 0.5003 0.7546
Sr 0.2500 0.2500 0.7523
Sr 0.7500 0.7500 0.2477
Pu 0.2500 0.7500 0.7469
Pu 0.7500 0.2500 0.2531
Cl 0.0011 0.7500 0.9954
Cl 0.0023 0.7500 0.4986
Cl 0.2500 0.5017 0.7557
Cl 0.2500 0.9983 0.7557
Cl 0.4977 0.7500 0.4986
Cl 0.4989 0.7500 0.9954
Cl 0.5011 0.2500 0.0046
Cl 0.5023 0.2500 0.5014
Cl 0.7500 0.0017 0.2443
Cl 0.7500 0.4983 0.2443
Cl 0.9977 0.2500 0.5014
Cl 0.9989 0.2500 0.0046

=====

ZrPSeO2 | PBE | relaxed

Output
Final energy   -33.0 eV/cell
Space-group type   P4/mmm (123)
Energy above the most stable polymorph in this dataset   0.00 eV/f.u.

Unit cell a=3.9892 b=3.9892 c=6.0336 alpha=90.00 beta=90.00 gamma=90.00
Positions (direct):
Zr 0.0000 0.0000 0.0000
P 0.0000 0.0000 0.5000
Se 0.5000 0.5000 0.5000
O 0.0000 0.5000 0.0000
O 0.5000 0.0000 0.0000